No. 1
Crystalline K2VReO6 at its relaxed geometry, computed with PBE+U.

Properties
The value obtained for the final energy is -69.93 eV/cell. The space group is No. 123. The density of states at the Fermi level comes out at 0.194 states/eV per atom.

Unit cell a=5.6141 b=5.6141 c=3.8884 alpha=90.00 beta=90.00 gamma=90.00
Last column: nearest neighbours and their distance in Å.
Element x y z (fractional)
K 0.0000 0.5000 0.0000  12 O 2.78-2.81
K 0.5000 0.0000 0.0000  12 O 2.78-2.81
V 0.0000 0.0000 0.5000  6 O 1.94-2.07
Re 0.5000 0.5000 0.5000  6 O 1.90-1.94
O 0.0000 0.0000 0.0000  2 V 1.94
O 0.2602 0.2602 0.5000  1 Re 1.90, 1 V 2.07
O 0.2602 0.7398 0.5000  1 Re 1.90, 1 V 2.07
O 0.5000 0.5000 0.0000  2 Re 1.94
O 0.7398 0.2602 0.5000  1 Re 1.90, 1 V 2.07
O 0.7398 0.7398 0.5000  1 Re 1.90, 1 V 2.07

***

No. 2
Crystalline K3VRe2O9 at its relaxed geometry, computed with PBE+U.

Properties
The value obtained for the final energy is -107.04 eV/cell. The space group is No. 164. The density of states at the Fermi level comes out at 0.336 states/eV per atom.

Unit cell a=5.5975 b=5.5975 c=6.8566 alpha=90.00 beta=90.00 gamma=120.00
Last column: nearest neighbours and their distance in Å.
Element x y z (fractional)
K 0.0000 0.0000 0.0000  12 O 2.78-2.80
K 0.3333 0.6667 0.6654  12 O 2.80-2.81
K 0.6667 0.3333 0.3346  12 O 2.80-2.81
V 0.0000 0.0000 0.5000  6 O 2.06
Re 0.3333 0.6667 0.1729  6 O 1.88-2.00
Re 0.6667 0.3333 0.8271  6 O 1.88-2.00
O 0.0000 0.5000 0.0000  2 Re 2.00
O 0.1721 0.3442 0.3249  1 Re 1.88, 1 V 2.06
O 0.1721 0.8279 0.3249  1 Re 1.88, 1 V 2.06
O 0.3442 0.1721 0.6751  1 Re 1.88, 1 V 2.06
O 0.5000 0.0000 0.0000  2 Re 2.00
O 0.5000 0.5000 0.0000  2 Re 2.00
O 0.6558 0.8279 0.3249  1 Re 1.88, 1 V 2.06
O 0.8279 0.1721 0.6751  1 Re 1.88, 1 V 2.06
O 0.8279 0.6558 0.6751  1 Re 1.88, 1 V 2.06

***

No. 3
Crystalline K2VRe3O12 at its relaxed geometry, computed with PBE+U.

Properties
The value obtained for the final energy is -137.33 eV/cell. The space group is No. 166. The density of states at the Fermi level comes out at 0.365 states/eV per atom.

Unit cell a=7.2773 b=7.2773 c=7.2773 alpha=60.35 beta=60.35 gamma=60.35
Last column: nearest neighbours and their distance in Å.
Element x y z (fractional)
K 0.1197 0.1197 0.1197  6 O 3.15-3.32
K 0.8803 0.8803 0.8803  6 O 3.15-3.32
V 0.5000 0.5000 0.5000  6 O 1.99
Re 0.0000 0.5000 0.5000  6 O 1.84-1.95
Re 0.5000 0.0000 0.5000  6 O 1.84-1.95
Re 0.5000 0.5000 0.0000  6 O 1.84-1.95
O 0.1813 0.5587 0.5587  1 Re 1.84, 1 V 1.99
O 0.1856 0.1856 0.5637  2 Re 1.95
O 0.1856 0.5637 0.1856  2 Re 1.95
O 0.4363 0.8144 0.8144  2 Re 1.95
O 0.4413 0.4413 0.8187  1 Re 1.84, 1 V 1.99
O 0.4413 0.8187 0.4413  1 Re 1.84, 1 V 1.99
O 0.5587 0.1813 0.5587  1 Re 1.84, 1 V 1.99
O 0.5587 0.5587 0.1813  1 Re 1.84, 1 V 1.99
O 0.5637 0.1856 0.1856  2 Re 1.95
O 0.8144 0.4363 0.8144  2 Re 1.95
O 0.8144 0.8144 0.4363  2 Re 1.95
O 0.8187 0.4413 0.4413  1 Re 1.84, 1 V 1.99

***

No. 4
Crystalline KRe2WO8 at its relaxed geometry, computed with PBE+U.

Properties
The value obtained for the final energy is -91.92 eV/cell. The space group is No. 164. The density of states at the Fermi level comes out at 0.422 states/eV per atom.

Unit cell a=5.8771 b=5.8771 c=7.4057 alpha=90.00 beta=90.00 gamma=120.00
Last column: nearest neighbours and their distance in Å.
Element x y z (fractional)
K 0.0000 0.0000 0.0000  6 O 2.97
Re 0.3333 0.6667 0.7529  4 O 1.77-1.81
Re 0.6667 0.3333 0.2471  4 O 1.77-1.81
W 0.0000 0.0000 0.5000  6 O 2.11
O 0.1659 0.3318 0.6702  1 Re 1.81
O 0.1659 0.8341 0.6702  1 Re 1.81
O 0.3318 0.1659 0.3298  1 Re 1.81
O 0.3333 0.6667 0.9913  1 Re 1.77
O 0.6667 0.3333 0.0087  1 Re 1.77
O 0.6682 0.8341 0.6702  1 Re 1.81
O 0.8341 0.1659 0.3298  1 Re 1.81
O 0.8341 0.6682 0.3298  1 Re 1.81

***

Repeat the fourth record exactly.
Crystalline KRe2WO8 at its relaxed geometry, computed with PBE+U.

Properties
The value obtained for the final energy is -91.92 eV/cell. The space group is No. 164. The density of states at the Fermi level comes out at 0.422 states/eV per atom.

Unit cell a=5.8771 b=5.8771 c=7.4057 alpha=90.00 beta=90.00 gamma=120.00
Last column: nearest neighbours and their distance in Å.
Element x y z (fractional)
K 0.0000 0.0000 0.0000  6 O 2.97
Re 0.3333 0.6667 0.7529  4 O 1.77-1.81
Re 0.6667 0.3333 0.2471  4 O 1.77-1.81
W 0.0000 0.0000 0.5000  6 O 2.11
O 0.1659 0.3318 0.6702  1 Re 1.81
O 0.1659 0.8341 0.6702  1 Re 1.81
O 0.3318 0.1659 0.3298  1 Re 1.81
O 0.3333 0.6667 0.9913  1 Re 1.77
O 0.6667 0.3333 0.0087  1 Re 1.77
O 0.6682 0.8341 0.6702  1 Re 1.81
O 0.8341 0.1659 0.3298  1 Re 1.81
O 0.8341 0.6682 0.3298  1 Re 1.81

***

- Look up the density of states at the Fermi level of the fourth one.
  0.422 states/eV per atom

***

- Number 3 is which compound?
  K2VRe3O12